1.
VASP calculation (PBE-GGA) on a geometry-optimized La4Ru5 structure.

Cell lengths 8.3844, 8.3844, 6.2729 Å; angles 90.00, 90.00, 120.00 degrees
Fractional positions:
La (0.0000, 0.0000, 0.0000)
La (0.0000, 0.0000, 0.5000)
La (0.0000, 0.3785, 0.2500)
La (0.0000, 0.6215, 0.7500)
La (0.3785, 0.0000, 0.2500)
La (0.3785, 0.3785, 0.7500)
La (0.6215, 0.0000, 0.7500)
La (0.6215, 0.6215, 0.2500)
Ru (0.0000, 0.3148, 0.7500)
Ru (0.0000, 0.6852, 0.2500)
Ru (0.3148, 0.0000, 0.7500)
Ru (0.3148, 0.3148, 0.2500)
Ru (0.3333, 0.6667, 0.0000)
Ru (0.3333, 0.6667, 0.5000)
Ru (0.6667, 0.3333, 0.0000)
Ru (0.6667, 0.3333, 0.5000)
Ru (0.6852, 0.0000, 0.2500)
Ru (0.6852, 0.6852, 0.7500)

Results
Density of states at the Fermi level (states/eV/f.u.): 11.89
Space-group type: P6_3/mcm, No. 193
Polymorph energy (0 for the lowest one) (meV/atom): 148
Theoretical density (g/cm3): 9.23


2.
VASP calculation (PBE-GGA) on a geometry-optimized Mn2AlSe structure.

Cell lengths 5.0506, 5.0506, 5.0506 Å; angles 136.38, 136.38, 63.39 degrees
Fractional positions:
Mn (0.0000, 0.0000, 0.0000)
Mn (0.7500, 0.2500, 0.5000)
Al (0.5000, 0.5000, 0.0000)
Se (0.2500, 0.7500, 0.5000)

Results
Density of states at the Fermi level (states/eV/f.u.): 3.00
Space-group type: I-4m2, No. 119
Polymorph energy (0 for the lowest one) (meV/atom): 85
Theoretical density (g/cm3): 5.92


3.
VASP calculation (PBE-GGA) on a geometry-optimized Mg5AlIn structure.

Cell lengths 5.7551, 5.7551, 10.1388 Å; angles 102.35, 102.35, 95.07 degrees
Fractional positions:
Mg (0.0133, 0.3924, 0.8356)
Mg (0.1574, 0.8426, 0.7500)
Mg (0.2417, 0.5366, 0.4679)
Mg (0.3924, 0.0133, 0.3356)
Mg (0.4634, 0.7583, 0.0321)
Mg (0.5366, 0.2417, 0.9679)
Mg (0.6076, 0.9867, 0.6644)
Mg (0.7583, 0.4634, 0.5321)
Mg (0.8426, 0.1574, 0.2500)
Mg (0.9867, 0.6076, 0.1644)
Al (0.4994, 0.5006, 0.2500)
Al (0.5006, 0.4994, 0.7500)
In (0.0000, 0.0000, 0.0000)
In (0.0000, 0.0000, 0.5000)

Results
Density of states at the Fermi level (states/eV/f.u.): 2.75
Space-group type: C2/c, No. 15
Polymorph energy (0 for the lowest one) (meV/atom): 0
Theoretical density (g/cm3): 2.76


4.
VASP calculation (PBE-GGA) on a geometry-optimized MnBe2Br structure.

Cell lengths 5.0179, 5.0179, 3.0084 Å; angles 105.80, 105.80, 119.32 degrees
Fractional positions:
Mn (0.0000, 0.0000, 0.0000)
Be (0.0000, 0.5000, 0.0000)
Be (0.5000, 0.0000, 0.0000)
Br (0.5000, 0.5000, 0.0000)

Results
Density of states at the Fermi level (states/eV/f.u.): 2.74
Space-group type: C2/m, No. 12
Polymorph energy (0 for the lowest one) (meV/atom): 560
Theoretical density (g/cm3): 4.56


5.
VASP calculation (PBE-GGA) on a geometry-optimized InTe2Pt structure.

Cell lengths 3.8621, 4.4608, 5.7006 Å; angles 90.00, 90.00, 90.00 degrees
Fractional positions:
In (0.0000, 0.0000, 0.0000)
Te (0.0000, 0.5000, 0.5000)
Te (0.5000, 0.5000, 0.0000)
Pt (0.5000, 0.0000, 0.5000)

Results
Density of states at the Fermi level (states/eV/f.u.): 2.55
Space-group type: Pmmm, No. 47
E (eV/atom): -3.554
Theoretical density (g/cm3): 9.55


6.
VASP calculation (PBE-GGA) on a geometry-optimized Zr2Ru structure.

Cell lengths 4.5447, 4.5447, 4.5447 Å; angles 60.00, 60.00, 60.00 degrees
Fractional positions:
Zr (0.2500, 0.2500, 0.2500)
Zr (0.7500, 0.7500, 0.7500)
Ru (0.0000, 0.0000, 0.0000)

Results
Density of states at the Fermi level (states/eV/f.u.): 3.40
Space-group type: Fm-3m, No. 225
E (eV/atom): -8.986
Theoretical density (g/cm3): 7.09


| no. | total moment (μB per atom) |
| --- | --- |
| 1 | 0.0000 |
| 2 | 1.6594 |
| 3 | 0.0000 |
| 4 | 0.7451 |
| 5 | 0.0000 |
| 6 | 0.0000 |